The following is a PBE-GGA calculation of a relaxed AcH6PdRh crystal, from the Alexandria database.

Summary:
N(E_F)   0.2372 states/eV per atom
E   -40.2 eV per cell
Crystal system   hexagonal
Mass density   7881 kg/m³
Magnetization   0.00 μB per cell

Cell: 4.9403 4.9405 4.4097 Å, 90.00 90.00 60.00°
Element x y z (fractional)
1 Ac 0.9999 0.0000 0.0001
2 H 0.0193 0.4896 0.2533
3 H 0.4895 0.0194 0.7467
4 H 0.4910 0.4897 0.7467
5 H 0.0194 0.4910 0.7466
6 H 0.4896 0.4912 0.2532
7 H 0.4910 0.0192 0.2533
8 Pd 0.6667 0.6667 0.5002
9 Rh 0.3334 0.3333 0.4999